A plane-wave DFT calculation with PBE was carried out for an optimized crystal structure of Li4Ho3Ga4.

## Properties
Uncorrected energy (eV/cell): -37.62
N(E_F) (states/eV per atom): 0.509
ρ (g/cm3): 6.007
Energy of formation (eV/f.u.): -4.119

CIF file:
```
data_Li4Ho3Ga4
_chemical_formula_sum 'Li4 Ho3 Ga4'
_symmetry_space_group_name_H-M 'P -1'
_symmetry_Int_Tables_number 2
_symmetry_space_group_name_Hall '-P 1'
_cell_length_a 3.3875
_cell_length_b 4.5860
_cell_length_c 14.5403
_cell_angle_alpha 80.98
_cell_angle_beta 83.35
_cell_angle_gamma 90.00
loop_
_atom_site_label
_atom_site_type_symbol
_atom_site_fract_x
_atom_site_fract_y
_atom_site_fract_z
Li1 Li 0.0913 0.0915 0.3167
Li2 Li 0.2420 0.7417 0.0165
Ho1 Ho 0.3579 0.3585 0.7839
Ho2 Ho 0.5000 0.0000 0.5000
Ga1 Ga 0.0475 0.5476 0.4050
Ga2 Ga 0.1826 0.1818 0.1359
```